Material: Cs3Mn2Br8
Method: DFT, PBE
State: optimized geometry

a = 7.712 Å, b = 7.712 Å, c = 11.182 Å
α = 69.83°, β = 69.83°, γ = 60.00°
Last column: magnetic moment on the atom in μB.
Fractional coordinates of all 13 atoms:
1 Br 0.328 0.328 0.015  0.05
2 Br 0.224 0.734 0.309  0.02
3 Br 0.734 0.224 0.309  0.02
4 Cs 0.000 0.000 0.000  0.00
5 Br 0.672 0.672 0.985  0.05
6 Cs 0.210 0.210 0.371  0.00
7 Br 0.266 0.266 0.691  0.02
8 Br 0.734 0.734 0.309  0.02
9 Br 0.776 0.266 0.691  0.02
10 Br 0.266 0.776 0.691  0.02
11 Cs 0.790 0.790 0.629  0.00
12 Mn 0.593 0.593 0.222  4.00
13 Mn 0.407 0.407 0.778  4.00

Calculated values
The value obtained for the calculated volume is 40.6 A^3/atom. The calculation puts the density of states at the Fermi level at 0.827 states/eV/atom. Its space-group type is R-3m. The value obtained for the uncorrected formation energy is -1.24 eV/atom.